Entry 1:
# VNCl3 | the Alexandria database | PBE | relaxed
data_VNCl3
_chemical_formula_sum 'V2 N2 Cl6'
_cell_length_a 7.4242
_cell_length_b 7.4242
_cell_length_c 5.9318
_cell_angle_alpha 90.00
_cell_angle_beta 90.00
_cell_angle_gamma 120.00
_space_group_name_H-M_alt 'P 63/m m c'
_space_group_IT_number 194
_space_group_name_Hall '-P 6c 2c'
loop_
_atom_site_label
_atom_site_type_symbol
_atom_site_fract_x
_atom_site_fract_y
_atom_site_fract_z
V1 V 0.0000 0.0000 0.0000
N1 N 0.3333 0.6667 0.2500
Cl1 Cl 0.1447 0.2893 0.7500
# Energy relative to the elements, uncorrected   0.0402 eV per atom
# Relative energy among the computed polymorphs   0 meV/atom
# Volume   28.3 Å³/atom


Entry 2:
# NdThSn2Rh5 | the Alexandria database | PBE | relaxed
data_NdThSn2Rh5
_chemical_formula_sum 'Nd1 Th1 Sn2 Rh5'
_cell_length_a 4.446
_cell_length_b 4.446
_cell_length_c 9.142
_cell_angle_alpha 90.00
_cell_angle_beta 90.00
_cell_angle_gamma 90.00
_space_group_name_H-M_alt 'P 4/m m m'
_space_group_IT_number 123
_space_group_name_Hall '-P 4 2'
loop_
_atom_site_label
_atom_site_type_symbol
_atom_site_fract_x
_atom_site_fract_y
_atom_site_fract_z
Nd1 Nd 0.000 0.000 0.000
Th1 Th 0.000 0.000 0.500
Sn1 Sn 0.500 0.500 0.348
Rh1 Rh 0.000 0.500 0.214
Rh2 Rh 0.500 0.500 0.000
# Formation enthalpy at 0 K   -473 meV per atom
# Volume   20.1 Å³/atom


Entry 3:
# Tb7Cd2Co2 | the Alexandria database | PBE | relaxed
data_Tb7Cd2Co2
_chemical_formula_sum 'Tb14 Cd4 Co4'
_cell_length_a 3.601
_cell_length_b 16.675
_cell_length_c 9.667
_cell_angle_alpha 90.00
_cell_angle_beta 90.00
_cell_angle_gamma 90.00
_space_group_name_H-M_alt 'I m m 2'
_space_group_IT_number 44
loop_
_space_group_symop_operation_xyz
'x,y,z'
'-x,-y,z'
'-x,y,z'
'x,-y,z'
'x+1/2,y+1/2,z+1/2'
'-x+1/2,-y+1/2,z+1/2'
'-x+1/2,y+1/2,z+1/2'
'x+1/2,-y+1/2,z+1/2'
loop_
_atom_site_label
_atom_site_type_symbol
_atom_site_fract_x
_atom_site_fract_y
_atom_site_fract_z
Tb1 Tb 0.000 0.000 0.000
Tb2 Tb 0.000 0.141 0.429
Tb3 Tb 0.000 0.317 0.620
Tb4 Tb 0.000 0.350 0.270
Cd1 Cd 0.000 0.000 0.656
Cd2 Cd 0.000 0.500 0.778
Co1 Co 0.000 0.238 0.919
# Formation enthalpy at 0 K   -174 meV per atom
# Relative energy among the computed polymorphs   0 meV/atom
# Volume   26.4 Å³/atom


Entry 4:
# TcGeSbRu | the Alexandria database | PBE | relaxed
data_TcGeSbRu
_chemical_formula_sum 'Tc4 Ge4 Sb4 Ru4'
_cell_length_a 6.319
_cell_length_b 6.319
_cell_length_c 6.319
_cell_angle_alpha 90.00
_cell_angle_beta 90.00
_cell_angle_gamma 90.00
_space_group_name_H-M_alt 'F -4 3 m'
_space_group_IT_number 216
_space_group_name_Hall 'F -4 2 3'
loop_
_atom_site_label
_atom_site_type_symbol
_atom_site_fract_x
_atom_site_fract_y
_atom_site_fract_z
Tc1 Tc 0.000 0.000 0.000
Ge1 Ge 0.250 0.250 0.250
Sb1 Sb 0.250 0.250 0.750
Ru1 Ru 0.000 0.000 0.500
# Energy relative to the elements, uncorrected   -0.0404 eV per atom
# Volume   15.8 Å³/atom


Entry 5:
# Th2AsRh6C | the Alexandria database | PBE | relaxed
data_Th2AsRh6C
_chemical_formula_sum 'Th2 As1 Rh6 C1'
_cell_length_a 4.549
_cell_length_b 4.549
_cell_length_c 8.644
_cell_angle_alpha 90.00
_cell_angle_beta 90.00
_cell_angle_gamma 90.00
_space_group_name_H-M_alt 'P 4/m m m'
_space_group_IT_number 123
_space_group_name_Hall '-P 4 2'
loop_
_atom_site_label
_atom_site_type_symbol
_atom_site_fract_x
_atom_site_fract_y
_atom_site_fract_z
Th1 Th 0.000 0.000 0.245
As1 As 0.500 0.500 0.500
Rh1 Rh 0.000 0.500 0.000
Rh2 Rh 0.000 0.500 0.500
Rh3 Rh 0.500 0.500 0.219
C1 C 0.500 0.500 0.000
# Formation enthalpy at 0 K   -391 meV per atom
# Volume   17.9 Å³/atom


Entry 6:
# HoTh2Ga3Pt4 | the Alexandria database | PBE | relaxed
data_HoTh2Ga3Pt4
_chemical_formula_sum 'Ho1 Th2 Ga3 Pt4'
_cell_length_a 4.261
_cell_length_b 4.261
_cell_length_c 11.402
_cell_angle_alpha 90.00
_cell_angle_beta 90.00
_cell_angle_gamma 90.00
_space_group_name_H-M_alt 'P -4 m 2'
_space_group_IT_number 115
loop_
_space_group_symop_operation_xyz
'x,y,z'
'y,-x,-z'
'-x,-y,z'
'-y,x,-z'
'-x,y,z'
'-y,-x,-z'
'x,-y,z'
'y,x,-z'
loop_
_atom_site_label
_atom_site_type_symbol
_atom_site_fract_x
_atom_site_fract_y
_atom_site_fract_z
Ho1 Ho 0.000 0.000 0.000
Th1 Th 0.000 0.500 0.724
Ga1 Ga 0.000 0.500 0.377
Ga2 Ga 0.500 0.500 0.000
Pt1 Pt 0.000 0.000 0.500
Pt2 Pt 0.000 0.500 0.158
Pt3 Pt 0.500 0.500 0.500
# Formation enthalpy at 0 K   -958 meV per atom
# Volume   20.7 Å³/atom


Entry 7:
# LiNi5 | the Alexandria database | PBE | relaxed
data_LiNi5
_chemical_formula_sum 'Li2 Ni10'
_cell_length_a 9.198
_cell_length_b 2.452
_cell_length_c 6.016
_cell_angle_alpha 90.00
_cell_angle_beta 104.99
_cell_angle_gamma 90.00
_space_group_name_H-M_alt 'C 1 m 1'
_space_group_IT_number 8
loop_
_space_group_symop_operation_xyz
'x,y,z'
'x,-y,z'
'x+1/2,y+1/2,z'
'x+1/2,-y+1/2,z'
loop_
_atom_site_label
_atom_site_type_symbol
_atom_site_fract_x
_atom_site_fract_y
_atom_site_fract_z
Li1 Li 0.000 0.000 0.000
Ni1 Ni 0.113 0.500 0.712
Ni2 Ni 0.171 0.500 0.335
Ni3 Ni 0.270 0.000 0.046
Ni4 Ni 0.336 0.000 0.665
Ni5 Ni 0.444 0.500 0.383
# Formation enthalpy at 0 K   14 meV per atom
# Relative energy among the computed polymorphs   9 meV/atom
# Volume   10.9 Å³/atom


Entry 8:
# KTeRh2 | the Alexandria database | PBE | relaxed
data_KTeRh2
_chemical_formula_sum 'K2 Te2 Rh4'
_cell_length_a 4.217
_cell_length_b 5.179
_cell_length_c 7.578
_cell_angle_alpha 90.00
_cell_angle_beta 90.00
_cell_angle_gamma 90.00
_space_group_name_H-M_alt 'I m m m'
_space_group_IT_number 71
_space_group_name_Hall '-I 2 2'
loop_
_atom_site_label
_atom_site_type_symbol
_atom_site_fract_x
_atom_site_fract_y
_atom_site_fract_z
K1 K 0.000 0.000 0.000
Te1 Te 0.000 0.000 0.500
Rh1 Rh 0.000 0.500 0.208
# Energy relative to the elements, uncorrected   0.3117 eV per atom
# Volume   20.7 Å³/atom


Entry 9:
# Rb2SrBr | the Alexandria database | PBE | relaxed
data_Rb2SrBr
_chemical_formula_sum 'Rb8 Sr4 Br4'
_cell_length_a 9.938
_cell_length_b 9.938
_cell_length_c 9.938
_cell_angle_alpha 90.00
_cell_angle_beta 90.00
_cell_angle_gamma 90.00
_space_group_name_H-M_alt 'F m -3 m'
_space_group_IT_number 225
_space_group_name_Hall '-F 4 2 3'
loop_
_atom_site_label
_atom_site_type_symbol
_atom_site_fract_x
_atom_site_fract_y
_atom_site_fract_z
Rb1 Rb 0.250 0.250 0.250
Sr1 Sr 0.000 0.000 0.000
Br1 Br 0.000 0.000 0.500
# Energy relative to the elements, uncorrected   -0.3089 eV per atom
# Relative energy among the computed polymorphs   402 meV/atom
# Volume   61.3 Å³/atom


Entry 10:
# CaZn2Cr | the Alexandria database | PBE | relaxed
data_CaZn2Cr
_chemical_formula_sum 'Ca1 Zn2 Cr1'
_cell_length_a 3.332
_cell_length_b 3.332
_cell_length_c 6.781
_cell_angle_alpha 90.00
_cell_angle_beta 90.00
_cell_angle_gamma 90.00
_space_group_name_H-M_alt 'P 4/m m m'
_space_group_IT_number 123
_space_group_name_Hall '-P 4 2'
loop_
_atom_site_label
_atom_site_type_symbol
_atom_site_fract_x
_atom_site_fract_y
_atom_site_fract_z
Ca1 Ca 0.000 0.000 0.000
Zn1 Zn 0.500 0.500 0.304
Cr1 Cr 0.000 0.000 0.500
# Formation enthalpy at 0 K   82 meV per atom
# Volume   18.8 Å³/atom


Entry 11:
# MnAgSe2 | the Alexandria database | PBE | relaxed
data_MnAgSe2
_chemical_formula_sum 'Mn2 Ag2 Se4'
_cell_length_a 3.367
_cell_length_b 7.167
_cell_length_c 7.850
_cell_angle_alpha 74.24
_cell_angle_beta 77.72
_cell_angle_gamma 76.45
_space_group_name_H-M_alt 'P -1'
_space_group_IT_number 2
loop_
_space_group_symop_operation_xyz
'x,y,z'
'-x,-y,-z'
loop_
_atom_site_label
_atom_site_type_symbol
_atom_site_fract_x
_atom_site_fract_y
_atom_site_fract_z
Mn1 Mn 0.164 0.052 0.120
Ag1 Ag 0.000 0.000 0.500
Ag2 Ag 0.000 0.500 0.000
Se1 Se 0.244 0.202 0.809
Se2 Se 0.495 0.756 0.752
# Energy relative to the elements, uncorrected   -0.2250 eV per atom
# Volume   21.9 Å³/atom


Entry 12:
# SiIr2W4 | the Alexandria database | PBE | relaxed
data_SiIr2W4
_chemical_formula_sum 'Si2 Ir4 W8'
_cell_length_a 4.418
_cell_length_b 4.418
_cell_length_c 12.819
_cell_angle_alpha 90.00
_cell_angle_beta 90.00
_cell_angle_gamma 90.00
_space_group_name_H-M_alt 'I 4/m m m'
_space_group_IT_number 139
_space_group_name_Hall '-I 4 2'
loop_
_atom_site_label
_atom_site_type_symbol
_atom_site_fract_x
_atom_site_fract_y
_atom_site_fract_z
Si1 Si 0.000 0.000 0.000
Ir1 Ir 0.000 0.000 0.371
W1 W 0.000 0.000 0.182
W2 W 0.000 0.500 0.000
# Energy relative to the elements, uncorrected   1.0946 eV per atom
# Volume   17.9 Å³/atom


Please write out number 11 again, unchanged.
# MnAgSe2 | the Alexandria database | PBE | relaxed
data_MnAgSe2
_chemical_formula_sum 'Mn2 Ag2 Se4'
_cell_length_a 3.367
_cell_length_b 7.167
_cell_length_c 7.850
_cell_angle_alpha 74.24
_cell_angle_beta 77.72
_cell_angle_gamma 76.45
_space_group_name_H-M_alt 'P -1'
_space_group_IT_number 2
loop_
_space_group_symop_operation_xyz
'x,y,z'
'-x,-y,-z'
loop_
_atom_site_label
_atom_site_type_symbol
_atom_site_fract_x
_atom_site_fract_y
_atom_site_fract_z
Mn1 Mn 0.164 0.052 0.120
Ag1 Ag 0.000 0.000 0.500
Ag2 Ag 0.000 0.500 0.000
Se1 Se 0.244 0.202 0.809
Se2 Se 0.495 0.756 0.752
# Energy relative to the elements, uncorrected   -0.2250 eV per atom
# Volume   21.9 Å³/atom


Question: volume of number 1 (VNCl3)?
Answer: 28.3 Å³/atom


Question: Which of these has the lowest volume?
Answer: LiNi5